The following is a PBE calculation of a relaxed InAg5Au5 crystal, from the Alexandria database.

Cell lengths 5.337, 5.710, 7.173 Å; angles 102.30, 96.06, 97.47 degrees
Positions (direct):
In: 0.000 0.000 0.000
Ag: 0.000 0.500 0.000
Ag: 0.068 0.223 0.632
Ag: 0.486 0.235 0.917
Ag: 0.514 0.765 0.083
Ag: 0.932 0.777 0.368
Au: 0.225 0.739 0.715
Au: 0.319 0.452 0.331
Au: 0.500 0.000 0.500
Au: 0.681 0.548 0.669
Au: 0.775 0.261 0.285

## Properties
Final energy ... -33.38 eV per cell
Energy relative to the elements ... 0.00 eV per formula unit
SG ... No. 2
Total magnetic moment ... 0.000 μB per atom